Density functional theory data (PBE) for a relaxed ReHg2Br crystal.

DOS at the Fermi energy: 1.036 states/eV/atom
Uncorrected energy: -2.4584 eV per atom
Calculated volume: 21.5 Å³ per atom
Raw formation energy: 1.2228 eV/atom
M_tot: 2.5 μB/f.u.
Energy above the most stable polymorph in this dataset: 665 meV per atom
Crystal system: tetragonal

Cell and atoms, written as POSCAR:
```
ReHg2Br
1.0
5.870 0.016 0.000
2.983 5.055 0.000
-4.427 -2.535 2.904
Re Hg Br
1 2 1
Direct
0.250 0.750 0.500 Re
0.000 0.000 0.000 Hg
0.500 0.500 0.000 Hg
0.750 0.250 0.500 Br
```